5
Lattice="6.052 0.000 0.000 0.000 6.052 0.000 0.000 0.000 5.846" Properties=species:S:1:pos:R:3 comment="RbTiPdBr2 PBE relaxed" space_group="P4/mmm, No. 123" magmom_total_mub_per_cell=3.0 raw_formation_energy_kj_per_mol_atoms=89.71 pbc="T T T"
Rb 0.000 0.000 0.000
Ti 0.000 0.000 2.923
Pd 3.026 3.026 2.923
Br 0.000 3.026 0.000
Br 3.026 0.000 0.000